Compound: Pm2Nd2Ho4Er
Source: Alexandria via LeMat-Bulk
Functional: PBE
Structure: optimized geometry

Cell lengths 3.6176, 9.5588, 9.6234 Å; angles 115.26, 90.00, 100.91 degrees
Last column: nearest neighbours and their distance in Å.
Sites, in units of the cell vectors:
Pm: 0.8530 0.7060 0.3374  7 Ho 3.51-3.63, 3 Nd 3.61, 2 Pm 3.62
Pm: 0.1470 0.2940 0.6626  7 Ho 3.51-3.63, 3 Nd 3.61, 2 Pm 3.62
Nd: 0.3350 0.6701 0.9986  3 Ho 3.55-3.57, 2 Er 3.58, 3 Pm 3.61, 4 Nd 3.62-3.68
Nd: 0.6650 0.3299 0.0014  3 Ho 3.55-3.57, 2 Er 3.58, 3 Pm 3.61, 4 Nd 3.62-3.68
Ho: 0.8153 0.6306 0.6645  3 Pm 3.51-3.63, 6 Ho 3.54-3.62, 2 Nd 3.57, 1 Er 3.57
Ho: 0.1847 0.3694 0.3355  3 Pm 3.51-3.63, 6 Ho 3.54-3.62, 2 Nd 3.57, 1 Er 3.57
Ho: 0.5193 0.0385 0.3314  4 Pm 3.54-3.63, 2 Er 3.55, 1 Nd 3.55, 5 Ho 3.58-3.62
Ho: 0.4807 0.9615 0.6686  4 Pm 3.54-3.63, 2 Er 3.55, 1 Nd 3.55, 5 Ho 3.58-3.62
Er: 0.0000 0.0000 0.0000  6 Ho 3.55-3.57, 4 Nd 3.58, 2 Er 3.62

Properties
energy of formation from the pure elements = 0.004 eV per atom
DFT total energy = -4.652 eV/atom
SG = C2/m, No. 12